Model one:
VASP calculation (PBE) on Tl3Pt2 after structural relaxation.

abc: 7.2570 7.2570 7.2570
angles: 57.72 57.72 57.72
Positions (direct):
Tl 0.1108 0.7500 0.3892
Tl 0.2500 0.6108 0.8892
Tl 0.3892 0.1108 0.7500
Tl 0.6108 0.8892 0.2500
Tl 0.7500 0.3892 0.1108
Tl 0.8892 0.2500 0.6108
Pt 0.1736 0.1736 0.1736
Pt 0.3263 0.3263 0.3263
Pt 0.6736 0.6736 0.6736
Pt 0.8264 0.8264 0.8264

## Properties
**Symmetry**: R-3c, No. 167
**Density of states at the Fermi level**: 0.37 states/eV per atom
**Volume**: 25.611 Å³ per atom
**M_tot**: 0.000 μB per atom

=====

Model two:
VASP calculation (PBE) on Tl3Pt2 after structural relaxation.

abc: 4.8375 4.8375 5.6691
angles: 90.00 90.00 120.00
Positions (direct):
Tl 0.0000 0.0000 0.0000
Tl 0.3333 0.6667 0.3555
Tl 0.6667 0.3333 0.6445
Pt 0.3333 0.6667 0.8520
Pt 0.6667 0.3333 0.1480

## Properties
**Symmetry**: P-3m1, No. 164
**Density of states at the Fermi level**: 0.22 states/eV per atom
**Volume**: 22.979 Å³ per atom
**M_tot**: 0.000 μB per atom

=====

Which is the most stable structure? model one is the most stable.

=====

Model one:
VASP calculation (PBE) on Tl5Pt after structural relaxation.

abc: 6.4303 6.4303 8.7040
angles: 114.83 114.83 31.59
Positions (direct):
Tl 0.0000 0.0000 0.0000
Tl 0.3267 0.3267 0.2118
Tl 0.3717 0.3717 0.6327
Tl 0.6283 0.6283 0.3673
Tl 0.6733 0.6733 0.7882
Pt 0.0000 0.0000 0.5000

## Properties
**Symmetry**: C2/m, No. 12
**Density of states at the Fermi level**: 0.31 states/eV per atom
**Volume**: 28.272 Å³ per atom
**M_tot**: 0.000 μB per atom

=====

Model two:
VASP calculation (PBE) on Tl5Pt after structural relaxation.

abc: 3.4248 3.4248 14.0512
angles: 90.00 90.00 90.00
Positions (direct):
Tl 0.0000 0.0000 0.0000
Tl 0.0000 0.0000 0.3768
Tl 0.0000 0.0000 0.6232
Tl 0.5000 0.5000 0.1844
Tl 0.5000 0.5000 0.8156
Pt 0.5000 0.5000 0.5000

## Properties
**Symmetry**: P4/mmm, No. 123
**Density of states at the Fermi level**: 0.47 states/eV per atom
**Volume**: 27.468 Å³ per atom
**M_tot**: 0.000 μB per atom

=====

Which is the most stable structure? model one is the most stable.

=====

Model one:
VASP calculation (PBE) on Tl5Pt after structural relaxation.

abc: 6.1053 6.1053 5.0427
angles: 90.00 90.00 120.00
Positions (direct):
Tl 0.0000 0.6988 0.0000
Tl 0.3012 0.3012 0.0000
Tl 0.3333 0.6667 0.5000
Tl 0.6667 0.3333 0.5000
Tl 0.6988 0.0000 0.0000
Pt 0.0000 0.0000 0.5000

## Properties
**Symmetry**: P-62m, No. 189
**Density of states at the Fermi level**: 0.43 states/eV per atom
**Volume**: 27.130 Å³ per atom
**M_tot**: 0.000 μB per atom

=====

Model two:
VASP calculation (PBE) on Tl5Pt after structural relaxation.

abc: 8.6299 8.6299 5.0882
angles: 90.00 90.00 153.40
Positions (direct):
Tl 0.0000 0.0000 0.0000
Tl 0.1283 0.8717 0.5000
Tl 0.3297 0.6703 0.0000
Tl 0.6703 0.3297 0.0000
Tl 0.8717 0.1283 0.5000
Pt 0.5000 0.5000 0.5000

## Properties
**Symmetry**: Cmmm, No. 65
**Density of states at the Fermi level**: 0.36 states/eV per atom
**Volume**: 28.279 Å³ per atom
**M_tot**: 0.000 μB per atom

=====

Which is the most stable structure? model two is the most stable.

=====

Model one:
VASP calculation (PBE) on Tm4TlPt after structural relaxation.

abc: 7.4152 6.9850 6.8846
angles: 90.00 91.69 90.00
Positions (direct):
Tm 0.1409 0.1593 0.1702
Tm 0.1409 0.3407 0.6702
Tm 0.3199 0.6414 0.1258
Tm 0.3199 0.8586 0.6258
Tm 0.6801 0.1414 0.3742
Tm 0.6801 0.3586 0.8742
Tm 0.8591 0.6593 0.3298
Tm 0.8591 0.8407 0.8298
Tl 0.5000 0.0000 0.0000
Tl 0.5000 0.5000 0.5000
Pt 0.0000 0.0000 0.5000
Pt 0.0000 0.5000 0.0000

## Properties
**Symmetry**: P2_1/c, No. 14
**Density of states at the Fermi level**: 0.98 states/eV per atom
**Volume**: 29.702 Å³ per atom
**M_tot**: 0.000 μB per atom

=====

Model two:
VASP calculation (PBE) on Tm4TlPt after structural relaxation.

abc: 9.6026 9.6026 9.6026
angles: 60.00 60.00 60.00
Positions (direct):
Tm 0.1877 0.1877 0.8123
Tm 0.1877 0.8123 0.1877
Tm 0.1877 0.8123 0.8123
Tm 0.3519 0.3519 0.3519
Tm 0.3519 0.3519 0.9443
Tm 0.3519 0.9443 0.3519
Tm 0.5614 0.5614 0.9386
Tm 0.5614 0.9386 0.5614
Tm 0.5614 0.9386 0.9386
Tm 0.8123 0.1877 0.1877
Tm 0.8123 0.1877 0.8123
Tm 0.8123 0.8123 0.1877
Tm 0.9386 0.5614 0.5614
Tm 0.9386 0.5614 0.9386
Tm 0.9386 0.9386 0.5614
Tm 0.9443 0.3519 0.3519
Tl 0.2400 0.5867 0.5867
Tl 0.5867 0.2400 0.5867
Tl 0.5867 0.5867 0.2400
Tl 0.5867 0.5867 0.5867
Pt 0.1435 0.1435 0.1435
Pt 0.1435 0.1435 0.5696
Pt 0.1435 0.5696 0.1435
Pt 0.5696 0.1435 0.1435

## Properties
**Symmetry**: F-43m, No. 216
**Density of states at the Fermi level**: 0.84 states/eV per atom
**Volume**: 26.088 Å³ per atom
**M_tot**: 0.000 μB per atom

=====

Which is the most stable structure? model two is the most stable.

=====

Model one:
VASP calculation (PBE) on Tm6Tl2Pt after structural relaxation.

abc: 6.1168 8.4444 11.3282
angles: 90.00 120.57 90.00
Positions (direct):
Tm 0.0605 0.1801 0.4446
Tm 0.0605 0.3199 0.9446
Tm 0.3350 0.6784 0.4467
Tm 0.3350 0.8216 0.9467
Tm 0.3793 0.0283 0.2678
Tm 0.3793 0.4717 0.7678
Tm 0.6207 0.5283 0.2322
Tm 0.6207 0.9717 0.7322
Tm 0.6650 0.1784 0.0533
Tm 0.6650 0.3216 0.5533
Tm 0.9395 0.6801 0.0554
Tm 0.9395 0.8199 0.5554
Tl 0.1707 0.1222 0.7496
Tl 0.1707 0.3778 0.2496
Tl 0.8293 0.6222 0.7504
Tl 0.8293 0.8778 0.2504
Pt 0.0000 0.0000 0.0000
Pt 0.0000 0.5000 0.5000

## Properties
**Symmetry**: P2_1/c, No. 14
**Density of states at the Fermi level**: 1.09 states/eV per atom
**Volume**: 27.989 Å³ per atom
**M_tot**: 0.000 μB per atom

=====

Model two:
VASP calculation (PBE) on Tm6Tl2Pt after structural relaxation.

abc: 8.5739 8.5739 3.8149
angles: 90.00 90.00 120.00
Positions (direct):
Tm 0.0000 0.2456 0.0000
Tm 0.0000 0.6085 0.5000
Tm 0.2456 0.0000 0.0000
Tm 0.3915 0.3915 0.5000
Tm 0.6085 0.0000 0.5000
Tm 0.7544 0.7544 0.0000
Tl 0.3333 0.6667 0.0000
Tl 0.6667 0.3333 0.0000
Pt 0.0000 0.0000 0.5000

## Properties
**Symmetry**: P-62m, No. 189
**Density of states at the Fermi level**: 1.17 states/eV per atom
**Volume**: 26.987 Å³ per atom
**M_tot**: 0.176 μB per atom

=====

Which is the most stable structure? model two is the most stable.

=====

Model one:
VASP calculation (PBE) on Tm3TlPt after structural relaxation.

abc: 4.7338 6.7727 8.3436
angles: 90.00 90.00 90.00
Positions (direct):
Tm 0.2500 0.0027 0.1616
Tm 0.2500 0.4973 0.1616
Tm 0.2500 0.7500 0.5633
Tm 0.7500 0.2500 0.4367
Tm 0.7500 0.5027 0.8384
Tm 0.7500 0.9973 0.8384
Tl 0.2500 0.2500 0.6695
Tl 0.7500 0.7500 0.3305
Pt 0.2500 0.7500 0.8955
Pt 0.7500 0.2500 0.1045

## Properties
**Symmetry**: Pmmn, No. 59
**Density of states at the Fermi level**: 0.86 states/eV per atom
**Volume**: 26.750 Å³ per atom
**M_tot**: 0.000 μB per atom

=====

Model two:
VASP calculation (PBE) on Tm3TlPt after structural relaxation.

abc: 7.9392 7.9392 9.7349
angles: 90.00 90.00 152.63
Positions (direct):
Tm 0.1257 0.8743 0.7500
Tm 0.3381 0.6619 0.5686
Tm 0.3381 0.6619 0.9314
Tm 0.6619 0.3381 0.0686
Tm 0.6619 0.3381 0.4314
Tm 0.8743 0.1257 0.2500
Tl 0.0000 0.0000 0.0000
Tl 0.0000 0.0000 0.5000
Pt 0.2447 0.7553 0.2500
Pt 0.7553 0.2447 0.7500

## Properties
**Symmetry**: Cmcm, No. 63
**Density of states at the Fermi level**: 1.00 states/eV per atom
**Volume**: 28.207 Å³ per atom
**M_tot**: 0.000 μB per atom

=====

Which is the most stable structure? model one is the most stable.